1.
Material: InIrPt2
Method: DFT, PBE-GGA
State: relaxed

The structure in extended XYZ format:
```
4
Lattice="-4.206 -0.813 -2.379 -2.579 -3.239 -2.620 -2.656 -2.131 3.512" Properties=species:S:1:pos:R:3 pbc="T T T"
Pt -6.783 -4.056 -4.959
Ir -2.318 -1.514 -0.411
Pt -7.102 -4.653 -1.112
In -4.741 -3.105 -0.749
```

Results
- DOS at the Fermi energy: 4.642 states/eV/f.u.
- Theoretical density: 17.62 Mg/m³
- Formation energy: -0.092 eV per atom
- V: 65.70 Å³/cell

=====

2.
Material: InIrPt
Method: DFT, PBE-GGA
State: relaxed

The structure in extended XYZ format:
```
3
Lattice="6.202 0.021 -0.022 5.501 2.864 -0.020 0.701 0.171 2.838" Properties=species:S:1:pos:R:3 pbc="T T T"
Pt 8.069 1.989 0.909
In 11.670 2.878 -0.034
Ir 4.367 1.075 1.878
```

Results
- DOS at the Fermi energy: 2.052 states/eV/f.u.
- Theoretical density: 16.63 Mg/m³
- Formation energy: -0.019 eV per atom
- V: 50.13 Å³/cell

=====

3.
Material: InIrPt2
Method: DFT, PBE-GGA
State: relaxed

The structure in extended XYZ format:
```
4
Lattice="-1.285 2.527 2.754 0.774 -1.835 2.045 6.061 0.623 2.256" Properties=species:S:1:pos:R:3 pbc="T T T"
Pt 5.991 0.591 2.253
In 1.066 0.960 2.452
Ir 4.484 0.354 4.603
Pt 3.488 -0.574 2.154
```

Results
- DOS at the Fermi energy: 3.974 states/eV/f.u.
- Theoretical density: 17.59 Mg/m³
- Formation energy: -0.081 eV per atom
- V: 65.83 Å³/cell

=====

4.
Material: InIrPt2
Method: DFT, PBE-GGA
State: relaxed

The structure in extended XYZ format:
```
4
Lattice="5.579 0.006 0.005 2.743 4.858 -0.005 -3.469 -3.616 2.452" Properties=species:S:1:pos:R:3 pbc="T T T"
In 4.138 2.419 0.000
Pt 0.041 0.024 0.000
Ir 1.695 1.823 1.224
Pt 3.139 -0.587 1.228
```

Results
- DOS at the Fermi energy: 3.060 states/eV/f.u.
- Theoretical density: 17.45 Mg/m³
- Formation energy: -0.051 eV per atom
- V: 66.35 Å³/cell

=====

5.
Material: InIrPt2
Method: DFT, PBE-GGA
State: relaxed

The structure in extended XYZ format:
```
4
Lattice="6.386 0.000 0.000 -2.540 4.165 0.000 1.305 0.797 2.451" Properties=species:S:1:pos:R:3 pbc="T T T"
Ir 1.923 2.083 0.000
Pt 3.845 0.399 1.225
In -0.618 2.481 1.226
Pt 0.000 0.000 0.000
```

Results
- DOS at the Fermi energy: 2.357 states/eV/f.u.
- Theoretical density: 17.76 Mg/m³
- Formation energy: -0.145 eV per atom
- V: 65.19 Å³/cell

=====

6.
Material: InIrPt
Method: DFT, PBE-GGA
State: relaxed

The structure in extended XYZ format:
```
3
Lattice="5.042 0.009 -0.001 2.662 4.282 0.001 -3.496 -2.785 2.333" Properties=species:S:1:pos:R:3 pbc="T T T"
Pt 5.146 2.866 0.000
Ir 2.573 1.433 0.000
In 7.690 4.283 0.000
```

Results
- DOS at the Fermi energy: 3.196 states/eV/f.u.
- Theoretical density: 16.57 Mg/m³
- Formation energy: 0.029 eV per atom
- V: 50.32 Å³/cell

=====

7.
Material: InIrPt
Method: DFT, PBE-GGA
State: relaxed

The structure in extended XYZ format:
```
3
Lattice="2.957 0.000 0.000 -1.479 2.561 0.000 0.000 0.000 6.657" Properties=species:S:1:pos:R:3 pbc="T T T"
In 0.000 0.000 0.012
Ir 1.479 0.854 2.195
Pt 0.000 1.707 4.450
```

Results
- DOS at the Fermi energy: 0.947 states/eV/f.u.
- Theoretical density: 16.54 Mg/m³
- Formation energy: 0.069 eV per atom
- V: 50.42 Å³/cell

=====

8.
Material: InIrPt2
Method: DFT, PBE-GGA
State: relaxed

The structure in extended XYZ format:
```
4
Lattice="-1.801 -0.506 -4.506 3.764 0.161 -3.099 -0.690 -2.695 4.008" Properties=species:S:1:pos:R:3 pbc="T T T"
In 0.982 -0.172 -3.803
Pt 2.028 -1.353 -1.447
Pt 0.000 0.000 0.000
Ir -0.755 -1.687 -2.150
```

Results
- DOS at the Fermi energy: 6.142 states/eV/f.u.
- Theoretical density: 17.64 Mg/m³
- Formation energy: -0.096 eV per atom
- V: 65.64 Å³/cell

=====

9.
Material: InIrPt
Method: DFT, PBE-GGA
State: relaxed

The structure in extended XYZ format:
```
6
Lattice="-0.139 -2.469 -2.425 -0.779 -2.343 2.430 -8.685 4.149 -1.253" Properties=species:S:1:pos:R:3 pbc="T T T"
Pt -7.895 1.505 -1.080
In -2.355 0.449 -0.322
Pt -1.708 -2.168 -0.169
Ir -4.528 -1.631 -0.555
In -7.248 -1.112 -0.927
Ir -5.075 0.967 -0.695
```

Results
- DOS at the Fermi energy: 2.609 states/eV/f.u.
- Theoretical density: 14.80 Mg/m³
- Formation energy: 0.114 eV per atom
- V: 112.70 Å³/cell

=====

10.
Material: InIr2Pt2
Method: DFT, PBE-GGA
State: relaxed

The structure in extended XYZ format:
```
10
Lattice="6.973 0.000 0.000 0.000 6.973 0.000 0.000 0.000 3.537" Properties=species:S:1:pos:R:3 pbc="T T T"
Pt 2.339 1.147 1.769
Pt 4.634 5.826 1.769
Pt 5.826 2.339 1.769
Ir 4.387 0.901 0.000
Ir 0.901 2.585 0.000
Ir 2.585 6.072 0.000
In 3.486 3.486 0.000
In 0.000 0.000 0.000
Pt 1.147 4.634 1.769
Ir 6.072 4.387 0.000
```

Results
- DOS at the Fermi energy: 4.461 states/eV/f.u.
- Theoretical density: 17.18 Mg/m³
- Formation energy: 0.152 eV per atom
- V: 171.98 Å³/cell

=====

11.
Material: InIrPt2
Method: DFT, PBE-GGA
State: relaxed

The structure in extended XYZ format:
```
4
Lattice="-3.585 -0.943 -1.751 1.453 -3.559 -1.059 -1.276 -1.547 3.447" Properties=species:S:1:pos:R:3 pbc="T T T"
Pt 0.089 -2.553 1.194
In -1.066 -2.251 -1.405
Ir -2.431 -1.245 0.848
Pt 0.000 0.000 0.000
```

Results
- DOS at the Fermi energy: 2.885 states/eV/f.u.
- Theoretical density: 17.76 Mg/m³
- Formation energy: -0.174 eV per atom
- V: 65.19 Å³/cell

=====

12.
Material: InIr3Pt
Method: DFT, PBE-GGA
State: relaxed

The structure in extended XYZ format:
```
5
Lattice="-0.402 2.817 -3.894 2.723 -3.087 -2.514 -3.961 -2.408 -1.333" Properties=species:S:1:pos:R:3 pbc="T T T"
Ir 1.361 -1.543 -1.257
In -0.820 -1.339 -3.870
Ir -0.201 1.408 -1.947
Pt 0.000 0.000 0.000
Ir -1.980 -1.204 -0.666
```

Results
- DOS at the Fermi energy: 7.689 states/eV/f.u.
- Theoretical density: 13.12 Mg/m³
- Formation energy: 1.697 eV per atom
- V: 112.19 Å³/cell